NpTlAg: optimized geometry, PBE.

## Properties
**SG**: F-43m (216)
**Total DFT energy (no corrections)**: -5.34 eV/atom
**Crystal system**: cubic
**Total magnetic moment**: 4.3 μB per cell

Lattice parameters (Å, degrees): 4.9852 4.9852 4.9852 60.00 60.00 60.00
Last column: nearest neighbours and their distance in Å.
Sites, in units of the cell vectors:
Np: 0.0000 0.0000 0.0000  4 Tl 3.05
Tl: 0.7500 0.7500 0.7500  4 Np 3.05, 4 Ag 3.05
Ag: 0.5000 0.5000 0.5000  4 Tl 3.05